Entry 1:
{"formula": "FePbSeBr2", "functional": "PBE", "state": "relaxed", "lattice": [[5.0493, 0.0000, 0.0000], [0.0000, 5.0493, 0.0000], [0.0000, 0.0000, 5.0158]], "species": ["Pb", "Se", "Br", "Br", "Fe"], "frac_coords": [[0.5000, 0.5000, 0.5000], [0.0000, 0.0000, 0.5000], [0.0000, 0.5000, 0.0000], [0.5000, 0.0000, 0.0000], [0.0000, 0.0000, 0.0000]], "e_form_raw_ev_per_atom": -0.184, "final_energy_ev_per_cell": -19.92, "magmom_total_mub_per_cell": 3.3}

***

Entry 2:
{"formula": "FeSi2PbBr", "functional": "PBE", "state": "relaxed", "lattice": [[-1.9370, -4.4961, -0.9851], [2.7099, -2.1307, 4.3964], [-3.9139, 1.0464, 2.9196]], "species": ["Pb", "Si", "Si", "Fe", "Br"], "frac_coords": [[0.0000, 0.5000, 0.0000], [0.0000, 0.0000, 0.5000], [0.5000, 0.0000, 0.0000], [0.5000, 0.5000, 0.5000], [0.0000, 0.0000, 0.0000]], "e_form_raw_ev_per_atom": 1.554, "final_energy_ev_per_cell": -16.92, "magmom_total_mub_per_cell": 3.1}

***

Entry 3:
{"formula": "FeSn2PbBr", "functional": "PBE", "state": "relaxed", "lattice": [[-3.1062, -0.5870, 3.8337], [3.8765, -0.3152, 3.0925], [-0.1294, 5.2192, 0.6943]], "species": ["Pb", "Sn", "Sn", "Br", "Fe"], "frac_coords": [[0.0000, 0.0000, 0.5000], [0.0000, 0.5000, 0.0000], [0.5000, 0.0000, 0.0000], [0.5000, 0.5000, 0.5000], [0.0000, 0.0000, 0.0000]], "e_form_raw_ev_per_atom": -0.083, "final_energy_ev_per_cell": -22.27, "magmom_total_mub_per_cell": 1.0}

***

Entry 4:
{"formula": "TlFePbBr5", "functional": "PBE", "state": "relaxed", "lattice": [[8.0451, 0.0538, -0.0992], [-2.2970, 7.7104, -0.0992], [-2.4963, -3.3718, 9.8310]], "species": ["Tl", "Tl", "Fe", "Fe", "Pb", "Pb", "Br", "Br", "Br", "Br", "Br", "Br", "Br", "Br", "Br", "Br"], "frac_coords": [[0.3518, 0.6482, 0.2500], [0.6482, 0.3518, 0.7500], [0.6833, 0.3167, 0.2500], [0.3167, 0.6833, 0.7500], [0.0000, 0.0000, 0.5000], [0.0000, 0.0000, 0.0000], [0.1010, 0.8990, 0.2500], [0.8990, 0.1010, 0.7500], [0.9171, 0.3376, 0.1401], [0.0829, 0.6624, 0.8599], [0.6624, 0.0829, 0.3599], [0.3376, 0.9171, 0.6401], [0.7381, 0.5986, 0.4337], [0.2619, 0.4014, 0.5663], [0.4014, 0.2619, 0.0663], [0.5986, 0.7381, 0.9337]], "e_form_raw_ev_per_atom": -0.696, "final_energy_ev_per_cell": -56.94, "magmom_total_mub_per_cell": 8.0}

***

Entry 5:
{"formula": "YFePb2Br", "functional": "PBE", "state": "relaxed", "lattice": [[5.8047, 0.0000, 0.0000], [0.0000, 5.8047, 0.0000], [0.0000, 0.0000, 4.3680]], "species": ["Pb", "Pb", "Y", "Fe", "Br"], "frac_coords": [[0.0000, 0.5000, 0.0000], [0.5000, 0.0000, 0.0000], [0.0000, 0.0000, 0.0000], [0.0000, 0.0000, 0.5000], [0.5000, 0.5000, 0.5000]], "e_form_raw_ev_per_atom": 0.989, "final_energy_ev_per_cell": -19.07, "magmom_total_mub_per_cell": 0.0}

***

Entry 6:
{"formula": "ZrFePbBr2", "functional": "PBE", "state": "relaxed", "lattice": [[-0.3112, 0.2175, -5.2785], [-4.2754, -2.6950, 0.1410], [-2.8076, 4.4723, 0.3498]], "species": ["Pb", "Br", "Br", "Zr", "Fe"], "frac_coords": [[0.5000, 0.5000, 0.5000], [0.0000, 0.0000, 0.5000], [0.5000, 0.0000, 0.0000], [0.0000, 0.0000, 0.0000], [0.0000, 0.5000, 0.0000]], "e_form_raw_ev_per_atom": 0.245, "final_energy_ev_per_cell": -22.84, "magmom_total_mub_per_cell": 1.5}

***

Entry 7:
{"formula": "Fe3PdBr12", "functional": "PBE", "state": "relaxed", "lattice": [[-1.6500, 7.0333, 0.0950], [3.5102, 1.0124, -13.9954], [-13.5656, -3.2342, 3.8382]], "species": ["Fe", "Fe", "Fe", "Fe", "Fe", "Fe", "Pd", "Pd", "Br", "Br", "Br", "Br", "Br", "Br", "Br", "Br", "Br", "Br", "Br", "Br", "Br", "Br", "Br", "Br", "Br", "Br", "Br", "Br", "Br", "Br", "Br", "Br"], "frac_coords": [[0.2500, 0.8586, 0.5619], [0.2500, 0.7033, 0.1414], [0.2500, 0.4381, 0.2967], [0.7500, 0.5619, 0.7033], [0.7500, 0.2967, 0.8586], [0.7500, 0.1414, 0.4381], [0.7500, 0.6667, 0.3333], [0.2500, 0.3333, 0.6667], [0.2500, 0.9293, 0.7425], [0.7500, 0.0183, 0.4940], [0.5161, 0.7492, 0.5022], [0.9839, 0.7492, 0.5022], [0.7500, 0.5060, 0.5243], [0.9839, 0.7530, 0.2508], [0.5161, 0.7530, 0.2508], [0.2500, 0.8131, 0.0707], [0.5161, 0.4978, 0.2470], [0.9839, 0.4978, 0.2470], [0.7500, 0.7425, 0.8131], [0.2500, 0.5243, 0.0183], [0.7500, 0.4757, 0.9817], [0.2500, 0.2575, 0.1869], [0.0161, 0.5022, 0.7530], [0.4839, 0.5022, 0.7530], [0.7500, 0.1869, 0.9293], [0.4839, 0.2470, 0.7492], [0.0161, 0.2470, 0.7492], [0.2500, 0.4940, 0.4757], [0.4839, 0.2508, 0.4978], [0.0161, 0.2508, 0.4978], [0.2500, 0.9817, 0.5060], [0.7500, 0.0707, 0.2575]], "e_form_raw_ev_per_atom": -0.316, "final_energy_ev_per_cell": -111.42, "magmom_total_mub_per_cell": 23.9}

***

Entry 8:
{"formula": "Fe3PdBr", "functional": "PBE", "state": "relaxed", "lattice": [[-0.1202, -2.6024, 3.4834], [0.5645, -3.4646, -2.5688], [4.3114, 0.3811, 0.4335]], "species": ["Br", "Pd", "Fe", "Fe", "Fe"], "frac_coords": [[0.0000, 0.0000, 0.0000], [0.5000, 0.5000, 0.5000], [0.0000, 0.5000, 0.0000], [0.0000, 0.0000, 0.5000], [0.5000, 0.0000, 0.0000]], "e_form_raw_ev_per_atom": 1.080, "final_energy_ev_per_cell": -26.85, "magmom_total_mub_per_cell": 7.0}

***

Entry 9:
{"formula": "Fe2PdBr6", "functional": "PBE", "state": "relaxed", "lattice": [[7.2987, -0.6821, -0.6604], [1.3011, 8.4334, 0.2422], [1.3011, 0.5153, 8.4211]], "species": ["Fe", "Fe", "Fe", "Fe", "Pd", "Pd", "Br", "Br", "Br", "Br", "Br", "Br", "Br", "Br", "Br", "Br", "Br", "Br"], "frac_coords": [[0.2011, 0.6148, 0.7704], [0.2989, 0.2296, 0.3852], [0.7989, 0.3852, 0.2296], [0.7011, 0.7704, 0.6148], [0.2500, 0.0972, 0.9028], [0.7500, 0.9028, 0.0972], [0.3971, 0.7088, 0.5416], [0.1029, 0.4584, 0.2912], [0.6029, 0.2912, 0.4584], [0.8971, 0.5416, 0.7088], [0.8540, 0.8806, 0.3785], [0.6460, 0.6215, 0.1194], [0.1460, 0.1194, 0.6215], [0.3540, 0.3785, 0.8806], [0.1565, 0.8091, 0.9501], [0.3435, 0.0499, 0.1909], [0.8435, 0.1909, 0.0499], [0.6565, 0.9501, 0.8091]], "e_form_raw_ev_per_atom": -0.351, "final_energy_ev_per_cell": -70.63, "magmom_total_mub_per_cell": 16.0}

***

Entry 10:
{"formula": "Fe2PdBr2", "functional": "PBE", "state": "relaxed", "lattice": [[6.7803, 0.0000, 0.0000], [0.0000, 6.7803, 0.0000], [0.0000, 0.0000, 3.8668]], "species": ["Br", "Br", "Br", "Br", "Pd", "Pd", "Fe", "Fe", "Fe", "Fe"], "frac_coords": [[0.1706, 0.6706, 0.5000], [0.6706, 0.8294, 0.5000], [0.8294, 0.3294, 0.5000], [0.3294, 0.1706, 0.5000], [0.0000, 0.0000, 0.0000], [0.5000, 0.5000, 0.0000], [0.3749, 0.8749, 0.0000], [0.8749, 0.6251, 0.0000], [0.6251, 0.1251, 0.0000], [0.1251, 0.3749, 0.0000]], "e_form_raw_ev_per_atom": 0.445, "final_energy_ev_per_cell": -46.48, "magmom_total_mub_per_cell": 12.2}

***

Entry 11:
{"formula": "Fe2PdBr4", "functional": "PBE", "state": "relaxed", "lattice": [[5.3081, 0.0000, 0.0000], [0.0000, 5.3081, 0.0000], [2.6541, 2.6541, 6.2422]], "species": ["Br", "Br", "Br", "Br", "Pd", "Fe", "Fe"], "frac_coords": [[0.7797, 0.7797, 0.4407], [0.2203, 0.2203, 0.5593], [0.0000, 0.5000, 0.0000], [0.5000, 0.0000, 0.0000], [0.0000, 0.0000, 0.0000], [0.5902, 0.5902, 0.8196], [0.4098, 0.4098, 0.1804]], "e_form_raw_ev_per_atom": 0.116, "final_energy_ev_per_cell": -28.00, "magmom_total_mub_per_cell": 7.5}

***

Entry 12:
{"formula": "Fe3PdBr", "functional": "PBE", "state": "relaxed", "lattice": [[4.7573, 0.0000, 0.0000], [0.0000, 4.7573, 0.0000], [0.0000, 0.0000, 4.7573]], "species": ["Br", "Pd", "Fe", "Fe", "Fe"], "frac_coords": [[0.5000, 0.5000, 0.5000], [0.0000, 0.0000, 0.0000], [0.0000, 0.5000, 0.0000], [0.0000, 0.0000, 0.5000], [0.5000, 0.0000, 0.0000]], "e_form_raw_ev_per_atom": 1.107, "final_energy_ev_per_cell": -26.72, "magmom_total_mub_per_cell": 10.4}

***

Entry 13:
{"formula": "Fe2PdBr", "functional": "PBE", "state": "relaxed", "lattice": [[0.0000, 3.0247, 3.0247], [3.0247, 0.0000, 3.0247], [3.0247, 3.0247, 0.0000]], "species": ["Br", "Pd", "Fe", "Fe"], "frac_coords": [[0.0000, 0.0000, 0.0000], [0.5000, 0.5000, 0.5000], [0.2500, 0.2500, 0.2500], [0.7500, 0.7500, 0.7500]], "e_form_raw_ev_per_atom": 1.023, "final_energy_ev_per_cell": -19.70, "magmom_total_mub_per_cell": 0.0}

***

Entry 14:
{"formula": "FePdBr", "functional": "PBE", "state": "relaxed", "lattice": [[-1.5845, -0.4259, -2.9416], [-1.4943, -0.9374, 2.8690], [-4.7615, 10.6992, 1.0158]], "species": ["Pd", "Pd", "Fe", "Fe", "Br", "Br"], "frac_coords": [[0.3351, 0.6702, 0.0000], [0.3328, 0.6656, 0.5000], [0.6662, 0.3324, 0.3579], [0.6662, 0.3324, 0.6421], [0.3332, 0.6663, 0.7882], [0.3332, 0.6663, 0.2118]], "e_form_raw_ev_per_atom": 0.221, "final_energy_ev_per_cell": -29.33, "magmom_total_mub_per_cell": 7.1}

***

Entry 15:
{"formula": "FePd3Br", "functional": "PBE", "state": "relaxed", "lattice": [[-3.0213, 3.2198, 1.6195], [-1.1793, -2.8801, 3.5260], [3.4058, 1.8591, 2.6576]], "species": ["Br", "Pd", "Pd", "Pd", "Fe"], "frac_coords": [[0.0000, 0.0000, 0.0000], [0.0000, 0.5000, 0.0000], [0.0000, 0.0000, 0.5000], [0.5000, 0.0000, 0.0000], [0.5000, 0.5000, 0.5000]], "e_form_raw_ev_per_atom": 0.936, "final_energy_ev_per_cell": -21.03, "magmom_total_mub_per_cell": 3.2}

***

Entry 16:
{"formula": "Fe2PdBr2", "functional": "PBE", "state": "relaxed", "lattice": [[-4.8484, 0.9228, -0.5159], [0.4437, -0.4220, -4.9244], [-2.9479, -3.5237, -2.4639]], "species": ["Br", "Br", "Pd", "Fe", "Fe"], "frac_coords": [[0.7500, 0.2500, 0.5000], [0.2500, 0.7500, 0.5000], [0.0000, 0.0000, 0.0000], [0.3552, 0.3552, 0.2896], [0.6448, 0.6448, 0.7104]], "e_form_raw_ev_per_atom": 0.501, "final_energy_ev_per_cell": -22.96, "magmom_total_mub_per_cell": 6.1}

***

Entry 17:
{"formula": "FePd3Br", "functional": "PBE", "state": "relaxed", "lattice": [[4.7096, 0.0000, 0.0000], [0.0000, 4.7096, 0.0000], [0.0000, 0.0000, 4.7096]], "species": ["Br", "Pd", "Pd", "Pd", "Fe"], "frac_coords": [[0.5000, 0.5000, 0.5000], [0.0000, 0.5000, 0.0000], [0.0000, 0.0000, 0.5000], [0.5000, 0.0000, 0.0000], [0.0000, 0.0000, 0.0000]], "e_form_raw_ev_per_atom": 0.719, "final_energy_ev_per_cell": -22.12, "magmom_total_mub_per_cell": 4.7}

***

Entry 18:
{"formula": "Rb2FePdBr6", "functional": "PBE", "state": "relaxed", "lattice": [[7.4757, 0.0000, 0.0000], [0.0000, 7.4757, 0.0000], [3.7378, 3.7378, 5.2889]], "species": ["Br", "Br", "Br", "Br", "Br", "Br", "Rb", "Rb", "Pd", "Fe"], "frac_coords": [[0.2559, 0.2559, 0.4883], [0.7441, 0.7441, 0.5117], [0.2550, 0.2550, 0.0000], [0.7450, 0.7450, 0.0000], [0.7450, 0.2550, 0.0000], [0.2550, 0.7450, 0.0000], [0.7500, 0.2500, 0.5000], [0.2500, 0.7500, 0.5000], [0.0000, 0.0000, 0.0000], [0.5000, 0.5000, 0.0000]], "e_form_raw_ev_per_atom": -0.895, "final_energy_ev_per_cell": -34.58, "magmom_total_mub_per_cell": 3.3}

***

Entry 19:
{"formula": "ScFePd2Br", "functional": "PBE", "state": "relaxed", "lattice": [[4.6513, 0.0000, 0.0000], [0.0000, 4.9363, 0.0000], [0.0000, 0.0000, 4.6513]], "species": ["Sc", "Br", "Pd", "Pd", "Fe"], "frac_coords": [[0.0000, 0.5000, 0.0000], [0.5000, 0.5000, 0.5000], [0.0000, 0.0000, 0.5000], [0.5000, 0.0000, 0.0000], [0.0000, 0.0000, 0.0000]], "e_form_raw_ev_per_atom": 0.333, "final_energy_ev_per_cell": -25.19, "magmom_total_mub_per_cell": 2.2}

***

Entry 20:
{"formula": "Pm3Fe3Br", "functional": "PBE", "state": "relaxed", "lattice": [[-2.3642, 1.9259, 2.5585], [-3.8303, 5.1421, -7.4102], [-4.0522, -8.5148, 2.6651]], "species": ["Pm", "Pm", "Pm", "Pm", "Pm", "Pm", "Fe", "Fe", "Fe", "Fe", "Fe", "Fe", "Br", "Br"], "frac_coords": [[0.7500, 0.3902, 0.2978], [0.7500, 0.9076, 0.6098], [0.7500, 0.7022, 0.0924], [0.2500, 0.6098, 0.7022], [0.2500, 0.0924, 0.3902], [0.2500, 0.2978, 0.9076], [0.7500, 0.0187, 0.1516], [0.7500, 0.1329, 0.9813], [0.7500, 0.8484, 0.8671], [0.2500, 0.9813, 0.8484], [0.2500, 0.8671, 0.0187], [0.2500, 0.1516, 0.1329], [0.7500, 0.3333, 0.6667], [0.2500, 0.6667, 0.3333]], "e_form_raw_ev_per_atom": -0.274, "final_energy_ev_per_cell": -86.47, "magmom_total_mub_per_cell": 9.0}

***

Entry 21:
{"formula": "Pm2FeBr", "functional": "PBE", "state": "relaxed", "lattice": [[3.4444, 0.0000, 0.0000], [0.0000, 3.4444, 0.0000], [0.0000, 0.0000, 8.1441]], "species": ["Fe", "Br", "Pm", "Pm"], "frac_coords": [[0.5000, 0.5000, 0.0000], [0.5000, 0.5000, 0.5000], [0.0000, 0.0000, 0.7956], [0.0000, 0.0000, 0.2044]], "e_form_raw_ev_per_atom": -0.449, "final_energy_ev_per_cell": -21.43, "magmom_total_mub_per_cell": 0.4}

***

Entry 22:
{"formula": "Pm5Fe2Br2", "functional": "PBE", "state": "relaxed", "lattice": [[-4.7777, -3.4961, -5.1110], [6.1413, -2.2449, -4.2053], [-1.9609, -8.5716, 1.7121]], "species": ["Pm", "Pm", "Pm", "Pm", "Pm", "Pm", "Pm", "Pm", "Pm", "Pm", "Fe", "Fe", "Fe", "Fe", "Br", "Br", "Br", "Br"], "frac_coords": [[0.0000, 0.0000, 0.0000], [0.5000, 0.5000, 0.0000], [0.4507, 0.1614, 0.7710], [0.7783, 0.8386, 0.7710], [0.2783, 0.6614, 0.7710], [0.9507, 0.3386, 0.7710], [0.5493, 0.8386, 0.2290], [0.2217, 0.1614, 0.2290], [0.7217, 0.3386, 0.2290], [0.0493, 0.6614, 0.2290], [0.1151, 0.3865, 0.0000], [0.8849, 0.6135, 0.0000], [0.3849, 0.8865, 0.0000], [0.6151, 0.1135, 0.0000], [0.2101, 0.0000, 0.5798], [0.7101, 0.5000, 0.5798], [0.7899, 0.0000, 0.4202], [0.2899, 0.5000, 0.4202]], "e_form_raw_ev_per_atom": -0.430, "final_energy_ev_per_cell": -95.79, "magmom_total_mub_per_cell": 3.2}

***

Entry 23:
{"formula": "Pm3FeBr", "functional": "PBE", "state": "relaxed", "lattice": [[-1.9120, -2.9760, -1.7852], [6.4904, -2.3840, -2.9771], [-0.9681, -4.5857, 8.6810]], "species": ["Pm", "Pm", "Pm", "Pm", "Pm", "Pm", "Fe", "Fe", "Br", "Br"], "frac_coords": [[0.2500, 0.5378, 0.2655], [0.7500, 0.4622, 0.7345], [0.2500, 0.0099, 0.6694], [0.7500, 0.1858, 0.9907], [0.7500, 0.9901, 0.3306], [0.2500, 0.8142, 0.0093], [0.7500, 0.5678, 0.0539], [0.2500, 0.4322, 0.9461], [0.7500, 0.7073, 0.5151], [0.2500, 0.2927, 0.4849]], "e_form_raw_ev_per_atom": -0.414, "final_energy_ev_per_cell": -52.91, "magmom_total_mub_per_cell": 2.2}